Rb2TmScSe4 | PBE-GGA | optimized geometry

Cell lengths 7.1334, 4.1213, 8.2984 Å; angles 90.00, 106.63, 90.00 degrees
Closest atoms and distances in Å follow each position.
Sites, in units of the cell vectors:
Rb 0.0000 0.0000 0.0000  6 Se 3.45-3.46
Rb 0.5000 0.5000 0.0000  6 Se 3.40
Tm 0.0000 0.5000 0.5000  6 Se 2.85
Sc 0.5000 0.0000 0.5000  6 Se 2.78-2.79
Se 0.2382 0.0000 0.6916  1 Sc 2.78, 2 Tm 2.85
Se 0.2784 0.5000 0.3121  2 Sc 2.79, 1 Tm 2.85
Se 0.7216 0.5000 0.6879  2 Sc 2.79, 1 Tm 2.85
Se 0.7618 0.0000 0.3084  1 Sc 2.78, 2 Tm 2.85

Results
E_tot, Ha/atom: -0.1833
Symmetry: No. 10
Calculated volume, Å³/atom: 29.22
E_form (uncorrected), meV/atom: -1652.0



Zr2TaV2 | PBE-GGA | optimized geometry

Cell lengths 3.2033, 3.2033, 19.1930 Å; angles 90.00, 90.00, 90.00 degrees
Closest atoms and distances in Å follow each position.
Sites, in units of the cell vectors:
Zr 0.0000 0.0000 0.1075  4 Ta 3.06, 4 V 3.17, 4 Zr 3.20
Zr 0.0000 0.0000 0.8925  4 Ta 3.06, 4 V 3.17, 4 Zr 3.20
Zr 0.5000 0.5000 0.3925  4 Ta 3.06, 4 V 3.17, 4 Zr 3.20
Zr 0.5000 0.5000 0.6075  4 Ta 3.06, 4 V 3.17, 4 Zr 3.20
Ta 0.0000 0.0000 0.5000  8 Zr 3.06, 4 Ta 3.20
Ta 0.5000 0.5000 0.0000  8 Zr 3.06, 4 Ta 3.20
V 0.0000 0.5000 0.2500  4 V 2.27
V 0.0000 0.5000 0.7500  4 V 2.27
V 0.5000 0.0000 0.2500  4 V 2.27
V 0.5000 0.0000 0.7500  4 V 2.27

Results
E_tot, Ha/atom: -0.3271
Symmetry: No. 139
DFT formation energy, eV per atom: 0.536
Calculated volume, Å³/atom: 19.69



K3TlAg2I6 | PBE-GGA | optimized geometry

Cell lengths 10.3197, 10.3197, 10.0853 Å; angles 101.70, 101.70, 28.17 degrees
Closest atoms and distances in Å follow each position.
Sites, in units of the cell vectors:
K 0.0000 0.0000 0.0000  6 I 3.59-3.60
K 0.3451 0.3451 0.6810  6 I 3.41-3.65
K 0.6549 0.6549 0.3190  6 I 3.41-3.65
Tl 0.0000 0.0000 0.5000  6 I 3.36-3.62
Ag 0.3208 0.3208 0.2433  4 I 2.83-3.04
Ag 0.6792 0.6792 0.7567  4 I 2.83-3.04
I 0.1715 0.1715 0.5846  2 Ag 3.04, 1 Tl 3.36
I 0.1829 0.1829 0.1024  1 Ag 2.83
I 0.4684 0.4684 0.2357  1 Ag 2.97
I 0.5316 0.5316 0.7643  1 Ag 2.97
I 0.8171 0.8171 0.8976  1 Ag 2.83
I 0.8285 0.8285 0.4154  2 Ag 3.04, 1 Tl 3.36

Results
E_tot, Ha/atom: -0.0953
Symmetry: No. 12
Calculated volume, Å³/atom: 41.32
E_form (uncorrected), meV/atom: -871.5



CaGdTm | PBE-GGA | optimized geometry

Cell lengths 3.6564, 3.6564, 15.3973 Å; angles 90.00, 90.00, 90.00 degrees
Closest atoms and distances in Å follow each position.
Sites, in units of the cell vectors:
Ca 0.0000 0.0000 0.0000  4 Ca 3.66, 4 Tm 3.72, 4 Gd 3.80
Ca 0.5000 0.5000 0.5000  4 Ca 3.66, 4 Tm 3.72, 4 Gd 3.80
Gd 0.0000 0.0000 0.3190  4 Tm 3.42, 4 Gd 3.66, 4 Ca 3.80
Gd 0.5000 0.5000 0.8190  4 Tm 3.42, 4 Gd 3.66, 4 Ca 3.80
Tm 0.0000 0.0000 0.6733  4 Gd 3.42, 4 Tm 3.66, 4 Ca 3.72
Tm 0.5000 0.5000 0.1733  4 Gd 3.42, 4 Tm 3.66, 4 Ca 3.72

Results
E_tot, Ha/atom: -0.2491
Symmetry: No. 107
DFT formation energy, eV per atom: 0.073
Calculated volume, Å³/atom: 34.31



Sc4TiCd3 | PBE-GGA | optimized geometry

Cell lengths 3.2386, 3.2386, 16.5569 Å; angles 90.00, 90.00, 90.00 degrees
Closest atoms and distances in Å follow each position.
Sites, in units of the cell vectors:
Sc 0.0000 0.0000 0.1195  4 Ti 3.03, 4 Cd 3.13, 4 Sc 3.24
Sc 0.0000 0.0000 0.3740  8 Cd 3.09-3.10, 4 Sc 3.24
Sc 0.0000 0.0000 0.6260  8 Cd 3.09-3.10, 4 Sc 3.24
Sc 0.0000 0.0000 0.8805  4 Ti 3.03, 4 Cd 3.13, 4 Sc 3.24
Ti 0.5000 0.5000 0.0000  8 Sc 3.03, 4 Ti 3.24
Cd 0.5000 0.5000 0.2484  8 Sc 3.09-3.13, 4 Cd 3.24
Cd 0.5000 0.5000 0.5000  8 Sc 3.10, 4 Cd 3.24
Cd 0.5000 0.5000 0.7516  8 Sc 3.09-3.13, 4 Cd 3.24

Results
E_tot, Ha/atom: -0.1718
Symmetry: No. 123
DFT formation energy, eV per atom: -0.179
Calculated volume, Å³/atom: 21.71



Na2Sr2RuO6 | PBE-GGA | optimized geometry

Cell lengths 6.0035, 6.0035, 5.8969 Å; angles 97.07, 97.07, 118.68 degrees
Closest atoms and distances in Å follow each position.
Sites, in units of the cell vectors:
Na 0.1348 0.8652 0.0000  4 O 2.33-2.37
Na 0.8652 0.1348 0.0000  4 O 2.33-2.37
Sr 0.3377 0.6623 0.5000  6 O 2.48-2.52
Sr 0.6623 0.3377 0.5000  6 O 2.48-2.52
Ru 0.0000 0.0000 0.5000  6 O 1.97-1.99
O 0.0394 0.3142 0.6917  1 Ru 1.97
O 0.2158 0.2158 0.2971  1 Ru 1.99
O 0.3142 0.0394 0.6917  1 Ru 1.97
O 0.6858 0.9606 0.3083  1 Ru 1.97
O 0.7842 0.7842 0.7029  1 Ru 1.99
O 0.9606 0.6858 0.3083  1 Ru 1.97

Results
E_tot, Ha/atom: -0.2146
Symmetry: No. 12
Calculated volume, Å³/atom: 16.45
E_form (uncorrected), meV/atom: -1747.2



Hf4GaRe3 | PBE-GGA | optimized geometry

Cell lengths 3.3221, 4.6362, 9.2613 Å; angles 90.00, 90.00, 90.00 degrees
Closest atoms and distances in Å follow each position.
Sites, in units of the cell vectors:
Hf 0.0000 0.0000 0.0000  8 Re 2.85-2.88
Hf 0.0000 0.0000 0.5000  4 Re 2.82, 4 Ga 2.85
Hf 0.0000 0.5000 0.2431  6 Re 2.80-2.85, 2 Ga 2.90
Hf 0.0000 0.5000 0.7569  6 Re 2.80-2.85, 2 Ga 2.90
Ga 0.5000 0.5000 0.5000  8 Hf 2.85-2.90
Re 0.5000 0.0000 0.2546  8 Hf 2.82-2.88
Re 0.5000 0.0000 0.7454  8 Hf 2.82-2.88
Re 0.5000 0.5000 0.0000  8 Hf 2.80-2.85

Results
E_tot, Ha/atom: -0.3828
Symmetry: No. 47
DFT formation energy, eV per atom: -0.393
Calculated volume, Å³/atom: 17.83



CePrThIn | PBE-GGA | optimized geometry

Cell lengths 7.8201, 7.8201, 7.8201 Å; angles 90.00, 90.00, 90.00 degrees
Closest atoms and distances in Å follow each position.
Sites, in units of the cell vectors:
Ce 0.0000 0.0000 0.0000  4 Th 3.39, 4 Pr 3.39
Ce 0.0000 0.5000 0.5000  4 Th 3.39, 4 Pr 3.39
Ce 0.5000 0.0000 0.5000  4 Th 3.39, 4 Pr 3.39
Ce 0.5000 0.5000 0.0000  4 Th 3.39, 4 Pr 3.39
Pr 0.2500 0.2500 0.7500  4 In 3.39, 4 Ce 3.39
Pr 0.2500 0.7500 0.2500  4 In 3.39, 4 Ce 3.39
Pr 0.7500 0.2500 0.2500  4 In 3.39, 4 Ce 3.39
Pr 0.7500 0.7500 0.7500  4 Ce 3.39, 4 In 3.39
Th 0.2500 0.2500 0.2500  4 In 3.39, 4 Ce 3.39
Th 0.2500 0.7500 0.7500  4 In 3.39, 4 Ce 3.39
Th 0.7500 0.2500 0.7500  4 In 3.39, 4 Ce 3.39
Th 0.7500 0.7500 0.2500  4 In 3.39, 4 Ce 3.39
In 0.0000 0.0000 0.5000  4 Pr 3.39, 4 Th 3.39
In 0.0000 0.5000 0.0000  4 Pr 3.39, 4 Th 3.39
In 0.5000 0.0000 0.0000  4 Pr 3.39, 4 Th 3.39
In 0.5000 0.5000 0.5000  4 Pr 3.39, 4 Th 3.39

Results
E_tot, Ha/atom: -0.1928
Symmetry: No. 216
DFT formation energy, eV per atom: -0.030
Calculated volume, Å³/atom: 29.89



Ordered mass density results: 5.0, 7.8, 4.3, 5.9, 5.4, 3.8, 15.6, 8.7; unit g/cm3.